Record 1
VASP calculation (GGA-PBE) on a relaxed structure of ZrGaNiPt.

POSCAR file:
```
ZrGaNiPt
1.0
6.3382 0.0000 0.0000
0.0000 6.3382 0.0000
0.0000 0.0000 6.3382
Zr Ga Ni Pt
4 4 4 4
Direct
0.0000 0.0000 0.0000 Zr
0.0000 0.5000 0.5000 Zr
0.5000 0.0000 0.5000 Zr
0.5000 0.5000 0.0000 Zr
0.0000 0.0000 0.5000 Ga
0.0000 0.5000 0.0000 Ga
0.5000 0.0000 0.0000 Ga
0.5000 0.5000 0.5000 Ga
0.2500 0.2500 0.7500 Ni
0.2500 0.7500 0.2500 Ni
0.7500 0.2500 0.2500 Ni
0.7500 0.7500 0.7500 Ni
0.2500 0.2500 0.2500 Pt
0.2500 0.7500 0.7500 Pt
0.7500 0.2500 0.7500 Pt
0.7500 0.7500 0.2500 Pt
```


Record 2
VASP calculation (GGA-PBE) on a relaxed structure of PuGaNi.

POSCAR file:
```
PuGaNi
1.0
8.1248 0.0000 0.0000
-4.0624 7.0363 0.0000
0.0000 0.0000 2.7718
Pu Ga Ni
3 3 3
Direct
0.0000 0.3070 0.0000 Pu
0.3070 0.0000 0.0000 Pu
0.6930 0.6930 0.0000 Pu
0.0000 0.0000 0.5000 Ga
0.3333 0.6667 0.0000 Ga
0.6667 0.3333 0.0000 Ga
0.0000 0.6296 0.5000 Ni
0.3704 0.3704 0.5000 Ni
0.6296 0.0000 0.5000 Ni
```


Record 3
VASP calculation (GGA-PBE) on a relaxed structure of PuGaNi.

POSCAR file:
```
PuGaNi
1.0
6.0612 0.0000 0.0000
0.0000 6.0612 0.0000
0.0000 0.0000 6.0612
Pu Ga Ni
4 4 4
Direct
0.0000 0.0000 0.0000 Pu
0.0000 0.5000 0.5000 Pu
0.5000 0.0000 0.5000 Pu
0.5000 0.5000 0.0000 Pu
0.0000 0.0000 0.5000 Ga
0.0000 0.5000 0.0000 Ga
0.5000 0.0000 0.0000 Ga
0.5000 0.5000 0.5000 Ga
0.2500 0.2500 0.2500 Ni
0.2500 0.7500 0.7500 Ni
0.7500 0.2500 0.7500 Ni
0.7500 0.7500 0.2500 Ni
```


Record 4
VASP calculation (GGA-PBE) on a relaxed structure of PuGaNi.

POSCAR file:
```
PuGaNi
1.0
6.3250 0.0000 0.0000
0.0000 6.3250 0.0000
0.0000 0.0000 6.3250
Pu Ga Ni
4 4 4
Direct
0.0000 0.0000 0.0000 Pu
0.0000 0.5000 0.5000 Pu
0.5000 0.0000 0.5000 Pu
0.5000 0.5000 0.0000 Pu
0.2500 0.2500 0.7500 Ga
0.2500 0.7500 0.2500 Ga
0.7500 0.2500 0.2500 Ga
0.7500 0.7500 0.7500 Ga
0.2500 0.2500 0.2500 Ni
0.2500 0.7500 0.7500 Ni
0.7500 0.2500 0.7500 Ni
0.7500 0.7500 0.2500 Ni
```


Record 5
VASP calculation (GGA-PBE) on a relaxed structure of PuGaNi.

POSCAR file:
```
PuGaNi
1.0
6.3757 0.0000 0.0000
-3.1879 5.5215 0.0000
0.0000 0.0000 4.5084
Pu Ga Ni
3 3 3
Direct
0.0000 0.5339 0.0000 Pu
0.4661 0.4661 0.0000 Pu
0.5339 0.0000 0.0000 Pu
0.0000 0.0000 0.0000 Ga
0.3333 0.6667 0.5000 Ga
0.6667 0.3333 0.5000 Ga
0.0000 0.2258 0.5000 Ni
0.2258 0.0000 0.5000 Ni
0.7742 0.7742 0.5000 Ni
```


Record 6
VASP calculation (GGA-PBE) on a relaxed structure of Pu3Ga4Ni2.

POSCAR file:
```
Pu3Ga4Ni2
1.0
4.9674 -2.3036 0.0000
4.9674 2.3036 0.0000
-4.7752 0.0000 6.9886
Pu Ga Ni
3 4 2
Direct
0.0000 0.0000 0.0000 Pu
0.3397 0.3397 0.3324 Pu
0.6603 0.6603 0.6676 Pu
0.0800 0.0800 0.4020 Ga
0.2988 0.2988 0.9553 Ga
0.7012 0.7012 0.0447 Ga
0.9200 0.9200 0.5980 Ga
0.3875 0.3875 0.7214 Ni
0.6125 0.6125 0.2786 Ni
```


Record 7
VASP calculation (GGA-PBE) on a relaxed structure of PuGaNi.

POSCAR file:
```
PuGaNi
1.0
6.7187 0.0000 0.0000
-3.3593 5.8185 0.0000
0.0000 0.0000 4.0754
Pu Ga Ni
3 3 3
Direct
0.0000 0.5762 0.0000 Pu
0.4238 0.4238 0.0000 Pu
0.5762 0.0000 0.0000 Pu
0.0000 0.2369 0.5000 Ga
0.2369 0.0000 0.5000 Ga
0.7631 0.7631 0.5000 Ga
0.0000 0.0000 0.0000 Ni
0.3333 0.6667 0.5000 Ni
0.6667 0.3333 0.5000 Ni
```


Record 8
VASP calculation (GGA-PBE) on a relaxed structure of RbGaNiS3.

POSCAR file:
```
RbGaNiS3
1.0
1.8766 -7.0041 0.0000
1.8766 7.0041 0.0000
0.0000 0.0000 10.2948
Rb Ga Ni S
2 2 2 6
Direct
0.2236 0.7764 0.7500 Rb
0.7764 0.2236 0.2500 Rb
0.5000 0.5000 0.0000 Ga
0.5000 0.5000 0.5000 Ga
0.0686 0.9314 0.2500 Ni
0.9314 0.0686 0.7500 Ni
0.1137 0.8863 0.0443 S
0.1137 0.8863 0.4557 S
0.4904 0.5096 0.2500 S
0.5096 0.4904 0.7500 S
0.8863 0.1137 0.5443 S
0.8863 0.1137 0.9557 S
```


Short version: size of the total moment = 0.00 16.17 21.13 21.59 15.86 15.61 15.50 0.09 μB/cell, in the order given.
Short version: E = -6.4920 -7.6546 -7.7583 -7.1305 -7.8797 -7.7403 -8.0348 -4.2491 eV per atom, in the order given.